# 1
Here is a relaxed CuNi3Rh2 crystal from the Alexandria database. Energies are from GGA-PBE.

Cell and atoms, written as extended XYZ:
```
12
Lattice="4.690 0.000 0.000 0.000 5.496 1.638 0.000 -0.808 5.677" Properties=species:S:1:pos:R:3 pbc="T T T"
Rh 1.226 2.522 6.238
Rh 3.571 2.165 1.077
Rh 1.226 4.613 4.897
Rh 3.571 0.074 2.417
Ni 3.573 3.167 4.941
Ni 2.399 3.589 2.860
Ni 0.054 1.099 4.454
Ni 0.054 3.588 2.859
Ni 1.228 1.521 2.373
Ni 2.399 1.099 4.455
Cu 3.565 4.460 6.959
Cu 1.220 0.228 0.355
```

Output
**Relative energy among the computed polymorphs**: 109 meV/atom
**Size of the total moment**: 0.443 μB/atom
**SG**: No. 36
**ΔE_f**: 91 kJ/mol of formula units

# 2
Here is a relaxed NbOs3Cl crystal from the Alexandria database. Energies are from GGA-PBE.

Cell and atoms, written as extended XYZ:
```
5
Lattice="-0.620 1.425 -4.622 4.403 -1.762 -1.134 -2.002 -4.318 -1.063" Properties=species:S:1:pos:R:3 pbc="T T T"
Nb 0.000 0.000 0.000
Os 2.202 -0.881 -0.567
Os -0.310 0.713 -2.311
Os -1.001 -2.159 -0.531
Cl 0.891 -2.328 -3.410
```

Output
**Relative energy among the computed polymorphs**: 924 meV/atom
**Size of the total moment**: 1.051 μB/atom
**SG**: No. 221

# 3
Here is a relaxed TiTcBi3 crystal from the Alexandria database. Energies are from GGA-PBE.

Cell and atoms, written as extended XYZ:
```
5
Lattice="-0.368 -4.338 3.145 3.560 -2.553 -3.106 4.004 1.872 3.050" Properties=species:S:1:pos:R:3 pbc="T T T"
Tc 3.598 -2.510 1.544
Bi -0.184 -2.169 1.572
Bi 1.780 -1.277 -1.553
Bi 2.002 0.936 1.525
Ti 0.000 0.000 0.000
```

Output
**Relative energy among the computed polymorphs**: 117 meV/atom
**Size of the total moment**: 0.849 μB/atom
**SG**: No. 221
**ΔE_f**: 489 kJ/mol of formula units

For each record above, in turn, the calculated D(E_F) values are 20.03 4.20 4.76 states/eV per cell.
For each record above, in turn, the calculated VASP energy values are -0.216 -0.242 -0.183 hartree per atom.